1.
Density functional theory data (SCAN) for a PBEsol-optimized structure of ScCuHg.

Properties
- ρ (g/cm³) = 8.1
- total magnetic moment (μB per formula unit) = 0.000
- formation energy (eV/atom) = 0.113
- excess energy over the best structure of this formula in the dataset (eV/f.u.) = 1.535

Lattice parameters (Å, degrees): 6.3319 6.3319 6.3319 90.00 90.00 90.00
Fractional coordinates of all 12 atoms:
Sc1 0.0000 0.0000 0.0000
Sc2 0.0000 0.5000 0.5000
Sc3 0.5000 0.0000 0.5000
Sc4 0.5000 0.5000 0.0000
Cu1 0.2500 0.2500 0.7500
Cu2 0.2500 0.7500 0.2500
Cu3 0.7500 0.2500 0.2500
Cu4 0.7500 0.7500 0.7500
Hg1 0.2500 0.2500 0.2500
Hg2 0.2500 0.7500 0.7500
Hg3 0.7500 0.2500 0.7500
Hg4 0.7500 0.7500 0.2500

***

2.
Density functional theory data (SCAN) for a PBEsol-optimized structure of MnTlTe2.

Properties
- ρ (g/cm³) = 8.7
- total magnetic moment (μB per formula unit) = 3.543
- E_form (uncorrected) (meV/atom) = 74

Lattice parameters (Å, degrees): 3.2503 3.2503 9.2471 90.00 90.00 90.00
Fractional coordinates of all 4 atoms:
Mn1 0.0000 0.0000 0.0000
Tl1 0.5000 0.5000 0.7768
Te1 0.0000 0.0000 0.4729
Te2 0.5000 0.5000 0.1426